Density functional theory data (PBE) for YPaSi2Rh5 after structural relaxation. Values from VASP.

Quantum ESPRESSO input file:
```
&SYSTEM
  ibrav = 0, nat = 9, ntyp = 4
/
ATOMIC_SPECIES
Pa 231.04 Pa.upf
Rh 102.91 Rh.upf
Si 28.09 Si.upf
Y 88.91 Y.upf
CELL_PARAMETERS angstrom
3.994 0.000 0.000
0.000 3.994 0.000
0.000 0.000 11.001
ATOMIC_POSITIONS crystal
Pa 0.000 0.000 0.000
Rh 0.000 0.500 0.175
Rh 0.500 0.000 0.175
Rh 0.000 0.500 0.825
Rh 0.500 0.000 0.825
Rh 0.000 0.000 0.500
Si 0.000 0.000 0.708
Si 0.000 0.000 0.292
Y 0.500 0.500 0.500
```

## Properties
- DOS(E_F) (states/eV/cell) = 4.066
- uncorrected formation energy (kJ per mole of atoms) = -56
- symmetry = P4/mmm